{"formula": "Ti2BeWO", "functional": "GGA+U", "state": "relaxed", "total_energy_ev_per_cell": -30.5, "rho_g_cm3": 6.84, "spacegroup": "P4/mmm, No. 123", "lattice": [[5.0563, 0.0000, 0.0000], [0.0000, 5.0563, 0.0000], [0.0000, 0.0000, 2.8940]], "species": ["Ti", "Ti", "Be", "W", "O"], "fractional_positions": [[0.0000, 0.5000, 0.0000], [0.5000, 0.0000, 0.0000], [0.0000, 0.0000, 0.0000], [0.5000, 0.5000, 0.5000], [0.0000, 0.0000, 0.5000]]}